No. 1
# RbAlRe

A relaxed structure of RbAlRe (PBE, Alexandria).

Results
Distance to the lowest polymorph of the same formula ... 0.085 eV/atom
ΔH_f (0 K) ... 0.318 eV/atom
SG ... P1 (1)
Final energy ... -32.409 eV/cell

a b c (Å): 4.3922 4.4252 12.6333
angles (deg): 86.74 80.60 60.27
Sites, in units of the cell vectors:
Al 0.9559 0.1806 0.8913
Rb 0.6197 0.4580 0.3036
Al 0.0610 0.7706 0.0986
Rb 0.7355 0.8378 0.6658
Re 0.2756 0.5193 0.9144
Re 0.5908 0.8513 0.9548

No. 2
# RbAlRe

A relaxed structure of RbAlRe (PBE, Alexandria).

Results
Distance to the lowest polymorph of the same formula ... 0.236 eV/atom
ΔH_f (0 K) ... 0.469 eV/atom
SG ... P1 (1)
Final energy ... -31.502 eV/cell

a b c (Å): 3.2111 4.4262 13.6445
angles (deg): 90.85 94.34 111.13
Sites, in units of the cell vectors:
Re 0.5408 0.6321 0.9064
Rb 0.1412 0.5738 0.3634
Al 0.3528 0.0895 0.1639
Re 0.2752 0.0618 0.9684
Rb 0.7291 0.1340 0.7071
Al 0.0297 0.5105 0.0625

No. 3
# RbAl3Re

A relaxed structure of RbAl3Re (PBE, Alexandria).

Results
Distance to the lowest polymorph of the same formula ... 0.000 eV/atom
ΔH_f (0 K) ... 0.094 eV/atom
SG ... Pm-3m (221)
Final energy ... -24.176 eV/cell

a b c (Å): 4.9554 4.9554 4.9554
angles (deg): 90.00 90.00 90.00
Sites, in units of the cell vectors:
Al 0.5000 0.0000 0.0000
Al 0.0000 0.0000 0.5000
Rb 0.5000 0.5000 0.5000
Al 0.0000 0.5000 0.0000
Re 0.0000 0.0000 0.0000

No. 4
# RbAlRe

A relaxed structure of RbAlRe (PBE, Alexandria).

Results
Distance to the lowest polymorph of the same formula ... 0.000 eV/atom
ΔH_f (0 K) ... 0.233 eV/atom
SG ... P-1 (2)
Final energy ... -32.919 eV/cell

a b c (Å): 4.2732 4.2739 12.3125
angles (deg): 83.59 82.77 60.04
Sites, in units of the cell vectors:
Rb 0.2505 0.2243 0.6857
Al 0.5285 0.5196 0.8937
Re 0.1602 0.1622 0.0242
Al 0.4715 0.4804 0.1063
Rb 0.7495 0.7757 0.3143
Re 0.8398 0.8378 0.9758

No. 5
# RbAlRe

A relaxed structure of RbAlRe (PBE, Alexandria).

Results
Distance to the lowest polymorph of the same formula ... 0.197 eV/atom
ΔH_f (0 K) ... 0.430 eV/atom
SG ... P1 (1)
Final energy ... -31.736 eV/cell

a b c (Å): 3.8032 4.8687 12.2561
angles (deg): 79.27 84.96 67.08
Sites, in units of the cell vectors:
Al 0.3559 0.6961 0.0424
Re 0.6251 0.2215 0.9307
Re 0.0777 0.2498 0.0483
Rb 0.7221 0.8266 0.2842
Rb 0.2322 0.1650 0.6558
Al 0.9181 0.6713 0.8670

No. 6
# RbAl3Re

A relaxed structure of RbAl3Re (PBE, Alexandria).

Results
Distance to the lowest polymorph of the same formula ... 2.652 eV/atom
ΔH_f (0 K) ... 2.745 eV/atom
SG ... Pm-3m (221)
Final energy ... -10.916 eV/cell

a b c (Å): 5.4334 5.4334 5.4334
angles (deg): 90.00 90.00 90.00
Each line ends with the local moment (μB).
Sites, in units of the cell vectors:
Al 0.0000 0.0000 0.5000  -0.03
Rb 0.0000 0.0000 0.0000  -0.07
Re 0.5000 0.5000 0.5000  3.37
Al 0.5000 0.0000 0.0000  -0.05
Al 0.0000 0.5000 0.0000  -0.05

No. 7
# Rb2AlReS

A relaxed structure of Rb2AlReS (PBE, Alexandria).

Results
SG ... P4/mmm (123)
Final energy ... -16.980 eV/cell
Formation energy without anion corrections ... 1.055 eV/atom

a b c (Å): 6.5118 4.8212 6.5118
angles (deg): 90.00 90.00 90.00
Each line ends with the local moment (μB).
Sites, in units of the cell vectors:
Rb 0.5000 0.0000 0.0000  0.00
Al 0.0000 0.0000 0.0000  0.00
Rb 0.0000 0.0000 0.5000  0.00
S 0.5000 0.5000 0.5000  0.28
Re 0.0000 0.5000 0.0000  2.42

No. 8
# Rb2ScAlRe

A relaxed structure of Rb2ScAlRe (PBE, Alexandria).

Results
ΔH_f (0 K) ... 1.836 eV/atom
SG ... P4/mmm (123)
Final energy ... -15.278 eV/cell

a b c (Å): 6.6440 5.4200 6.6440
angles (deg): 90.00 90.00 90.00
Each line ends with the local moment (μB).
Sites, in units of the cell vectors:
Sc 0.0000 0.5000 0.0000  -0.08
Al 0.0000 0.0000 0.0000  0.02
Re 0.5000 0.5000 0.5000  3.58
Rb 0.0000 0.0000 0.5000  0.00
Rb 0.5000 0.0000 0.0000  0.00